Record 1
! Pr6Pb2N, optimized geometry, DFT PBE; values from VASP
! Symmetry ... P2_1/c, No. 14
! M_tot ... 0.00 μB per atom
! Energy above the most stable polymorph in this dataset ... 0.021 eV/atom
! Crystal system ... monoclinic
&SYSTEM
  ibrav = 0, nat = 18, ntyp = 3
/
ATOMIC_SPECIES
Pr 140.91 Pr.upf
Pb 207.20 Pb.upf
N 14.01 N.upf
CELL_PARAMETERS angstrom
6.679 0.000 0.062
0.000 8.523 0.000
-0.743 0.000 9.966
ATOMIC_POSITIONS angstrom
Pr 5.381 6.206 5.525
Pb 5.598 3.395 7.349
Pr 2.045 4.556 7.502
Pb 2.630 0.866 2.335
Pb 3.306 7.656 7.693
Pr 1.118 2.979 0.422
Pr 2.413 6.578 0.510
Pr 0.555 2.316 4.504
Pr 4.818 5.544 9.606
N -0.371 0.000 4.983
N 3.339 4.261 0.031
Pr 0.180 0.294 7.479
Pb 0.338 5.128 2.679
Pr 4.086 1.283 5.436
Pr 1.850 7.240 4.592
Pr 3.891 3.967 2.526
Pr 3.523 1.945 9.518
Pr 5.756 8.228 2.550

***

Record 2
! SeBr, optimized geometry, DFT PBE; values from VASP
! Symmetry ... Pm-3n, No. 223
! M_tot ... 0.00 μB per atom
! Crystal system ... cubic
&SYSTEM
  ibrav = 0, nat = 12, ntyp = 2
/
ATOMIC_SPECIES
Se 78.96 Se.upf
Br 79.90 Br.upf
CELL_PARAMETERS angstrom
-5.914 4.545 3.053
-5.457 -4.526 -3.833
-0.447 -4.879 6.399
ATOMIC_POSITIONS angstrom
Se -7.050 -1.122 -1.348
Br -3.292 -1.387 6.326
Se -2.840 -3.483 -0.316
Se -4.659 0.969 5.489
Se -1.702 -1.303 3.963
Se -3.064 -5.923 2.883
Br -4.207 -1.127 -1.153
Br -1.588 -3.571 2.241
Br -3.069 1.053 3.126
Se -4.321 1.141 0.568
Br -7.164 1.146 0.373
Br -4.316 -5.834 0.325

***

| no. | raw formation energy (kJ/mol of formula units) |
| --- | --- |
| 1 | -464.3 |
| 2 | 141.5 |